# 1
This record from the Alexandria database describes RbNd2Cl8 after structural relaxation. The functional is GGA-PBE.

a b c (Å): 8.220 8.220 5.357
angles (deg): 90.05 90.05 116.29
Element x y z (fractional)
Rb: 0.000 0.000 0.000
Nd: 0.303 0.697 0.500
Nd: 0.697 0.303 0.500
Cl: 0.057 0.328 0.501
Cl: 0.258 0.742 0.000
Cl: 0.328 0.057 0.501
Cl: 0.499 0.499 0.247
Cl: 0.501 0.501 0.753
Cl: 0.672 0.943 0.499
Cl: 0.742 0.258 0.000
Cl: 0.943 0.672 0.499

Results
E above lowest polymorph (eV per atom): 0.000
Formation energy without anion corrections (eV per formula unit): -22.2
Calculated volume (Å³/f.u.): 325

# 2
This record from the Alexandria database describes RbNdCl4 after structural relaxation. The functional is GGA-PBE.

a b c (Å): 8.502 8.502 7.112
angles (deg): 108.09 108.09 109.83
Element x y z (fractional)
Rb: 0.141 0.859 0.750
Rb: 0.859 0.141 0.250
Nd: 0.493 0.507 0.250
Nd: 0.507 0.493 0.750
Cl: 0.183 0.298 0.800
Cl: 0.249 0.554 0.438
Cl: 0.298 0.183 0.300
Cl: 0.446 0.751 0.062
Cl: 0.554 0.249 0.938
Cl: 0.702 0.817 0.700
Cl: 0.751 0.446 0.562
Cl: 0.817 0.702 0.200

Results
E above lowest polymorph (eV per atom): 0.045
Formation energy without anion corrections (eV per formula unit): -12.8
Calculated volume (Å³/f.u.): 203

# 3
This record from the Alexandria database describes RbNd2Cl7 after structural relaxation. The functional is GGA-PBE.

a b c (Å): 8.292 8.292 5.492
angles (deg): 90.00 90.00 116.29
Element x y z (fractional)
Rb: 0.000 0.000 0.000
Nd: 0.303 0.697 0.500
Nd: 0.697 0.303 0.500
Cl: 0.049 0.327 0.500
Cl: 0.288 0.712 0.000
Cl: 0.327 0.049 0.500
Cl: 0.500 0.500 0.500
Cl: 0.673 0.951 0.500
Cl: 0.712 0.288 0.000
Cl: 0.951 0.673 0.500

Results
Formation energy without anion corrections (eV per formula unit): -22.3
Calculated volume (Å³/f.u.): 339

# 4
This record from the Alexandria database describes Rb2Nd2Cl7 after structural relaxation. The functional is GGA-PBE.

a b c (Å): 6.959 6.959 7.595
angles (deg): 90.04 90.04 83.30
Element x y z (fractional)
Rb: 0.235 0.765 0.000
Rb: 0.765 0.235 0.000
Nd: 0.279 0.279 0.500
Nd: 0.721 0.721 0.500
Cl: 0.000 0.000 0.500
Cl: 0.000 0.500 0.273
Cl: 0.000 0.500 0.727
Cl: 0.500 0.000 0.273
Cl: 0.500 0.000 0.727
Cl: 0.500 0.500 0.279
Cl: 0.500 0.500 0.721

Results
Formation energy without anion corrections (eV per formula unit): -22.5
Calculated volume (Å³/f.u.): 365

# 5
This record from the Alexandria database describes RbNd2Cl8 after structural relaxation. The functional is GGA-PBE.

a b c (Å): 7.261 7.261 8.373
angles (deg): 100.28 100.28 72.69
Element x y z (fractional)
Rb: 0.000 0.000 0.000
Nd: 0.323 0.323 0.539
Nd: 0.677 0.677 0.461
Cl: 0.039 0.653 0.668
Cl: 0.215 0.215 0.797
Cl: 0.347 0.961 0.332
Cl: 0.444 0.444 0.289
Cl: 0.556 0.556 0.711
Cl: 0.653 0.039 0.668
Cl: 0.785 0.785 0.203
Cl: 0.961 0.347 0.332

Results
E above lowest polymorph (eV per atom): 0.077
Formation energy without anion corrections (eV per formula unit): -21.4
Calculated volume (Å³/f.u.): 411

# 6
This record from the Alexandria database describes RbNdSCl after structural relaxation. The functional is GGA-PBE.

a b c (Å): 4.110 4.110 24.164
angles (deg): 90.00 90.00 120.00
Element x y z (fractional)
Rb: 0.000 0.000 0.000
Rb: 0.333 0.667 0.667
Rb: 0.667 0.333 0.333
Nd: 0.000 0.000 0.182
Nd: 0.333 0.667 0.849
Nd: 0.667 0.333 0.516
S: 0.000 0.000 0.579
S: 0.333 0.667 0.246
S: 0.667 0.333 0.912
Cl: 0.000 0.000 0.772
Cl: 0.333 0.667 0.438
Cl: 0.667 0.333 0.105

Results
Formation energy without anion corrections (eV per formula unit): -6.7
Calculated volume (Å³/f.u.): 118

# 7
This record from the Alexandria database describes RbNdSeCl after structural relaxation. The functional is GGA-PBE.

a b c (Å): 4.206 4.206 24.635
angles (deg): 90.00 90.00 120.00
Element x y z (fractional)
Rb: 0.000 0.000 0.000
Rb: 0.333 0.667 0.667
Rb: 0.667 0.333 0.333
Nd: 0.000 0.000 0.176
Nd: 0.333 0.667 0.843
Nd: 0.667 0.333 0.510
Se: 0.000 0.000 0.576
Se: 0.333 0.667 0.243
Se: 0.667 0.333 0.910
Cl: 0.000 0.000 0.768
Cl: 0.333 0.667 0.435
Cl: 0.667 0.333 0.102

Results
Formation energy without anion corrections (eV per formula unit): -6.4
Calculated volume (Å³/f.u.): 126

# 8
This record from the Alexandria database describes Rb2NdSe2Cl2 after structural relaxation. The functional is GGA-PBE.

a b c (Å): 5.703 5.703 16.996
angles (deg): 90.00 90.00 90.00
Element x y z (fractional)
Rb: 0.000 0.000 0.145
Rb: 0.000 0.000 0.855
Rb: 0.500 0.500 0.355
Rb: 0.500 0.500 0.645
Nd: 0.000 0.000 0.500
Nd: 0.500 0.500 0.000
Se: 0.000 0.500 0.000
Se: 0.000 0.500 0.500
Se: 0.500 0.000 0.000
Se: 0.500 0.000 0.500
Cl: 0.000 0.000 0.335
Cl: 0.000 0.000 0.665
Cl: 0.500 0.500 0.165
Cl: 0.500 0.500 0.835

Results
Formation energy without anion corrections (eV per formula unit): -11.2
Calculated volume (Å³/f.u.): 276

# 9
This record from the Alexandria database describes RbNdSn2Cl8 after structural relaxation. The functional is GGA-PBE.

a b c (Å): 6.548 6.981 9.269
angles (deg): 86.31 87.71 87.77
Element x y z (fractional)
Rb: 0.000 0.000 0.000
Nd: 0.000 0.000 0.500
Sn: 0.491 0.484 0.249
Sn: 0.509 0.516 0.751
Cl: 0.219 0.816 0.288
Cl: 0.246 0.318 0.460
Cl: 0.256 0.859 0.714
Cl: 0.279 0.370 0.048
Cl: 0.721 0.630 0.952
Cl: 0.744 0.141 0.286
Cl: 0.754 0.682 0.540
Cl: 0.781 0.184 0.712

Results
Formation energy without anion corrections (eV per formula unit): -19.0
Calculated volume (Å³/f.u.): 422

# 10
This record from the Alexandria database describes RbNdSnCl6 after structural relaxation. The functional is GGA-PBE.

a b c (Å): 6.955 6.955 13.323
angles (deg): 90.00 90.00 90.00
Element x y z (fractional)
Rb: 0.000 0.000 0.000
Rb: 0.500 0.500 0.500
Nd: 0.000 0.000 0.335
Nd: 0.500 0.500 0.835
Sn: 0.000 0.000 0.669
Sn: 0.500 0.500 0.169
Cl: 0.174 0.174 0.499
Cl: 0.207 0.207 0.195
Cl: 0.221 0.221 0.817
Cl: 0.279 0.721 0.317
Cl: 0.293 0.707 0.695
Cl: 0.326 0.674 0.999
Cl: 0.674 0.326 0.999
Cl: 0.707 0.293 0.695
Cl: 0.721 0.279 0.317
Cl: 0.779 0.779 0.817
Cl: 0.793 0.793 0.195
Cl: 0.826 0.826 0.499

Results
Formation energy without anion corrections (eV per formula unit): -16.0
Calculated volume (Å³/f.u.): 322

# 11
This record from the Alexandria database describes RbSrNdCl6 after structural relaxation. The functional is GGA-PBE.

a b c (Å): 7.524 7.524 13.869
angles (deg): 90.00 90.00 120.00
Element x y z (fractional)
Rb: 0.000 0.000 0.000
Rb: 0.000 0.000 0.500
Sr: 0.333 0.667 0.250
Sr: 0.667 0.333 0.750
Nd: 0.333 0.667 0.750
Nd: 0.667 0.333 0.250
Cl: 0.016 0.378 0.639
Cl: 0.016 0.637 0.861
Cl: 0.363 0.378 0.861
Cl: 0.363 0.984 0.639
Cl: 0.378 0.016 0.139
Cl: 0.378 0.363 0.361
Cl: 0.622 0.637 0.639
Cl: 0.622 0.984 0.861
Cl: 0.637 0.016 0.361
Cl: 0.637 0.622 0.139
Cl: 0.984 0.363 0.139
Cl: 0.984 0.622 0.361

Results
Formation energy without anion corrections (eV per formula unit): -20.7
Calculated volume (Å³/f.u.): 340

# 12
This record from the Alexandria database describes RbNdTeCl2 after structural relaxation. The functional is GGA-PBE.

a b c (Å): 9.240 9.240 8.970
angles (deg): 90.00 90.00 151.30
Element x y z (fractional)
Rb: 0.216 0.784 0.750
Rb: 0.784 0.216 0.250
Nd: 0.500 0.500 0.000
Nd: 0.500 0.500 0.500
Te: 0.007 0.993 0.250
Te: 0.993 0.007 0.750
Cl: 0.348 0.652 0.015
Cl: 0.348 0.652 0.485
Cl: 0.652 0.348 0.515
Cl: 0.652 0.348 0.985

Results
Formation energy without anion corrections (eV per formula unit): -9.3
Calculated volume (Å³/f.u.): 184

# 13
This record from the Alexandria database describes RbNdTl2Cl6 after structural relaxation. The functional is GGA-PBE.

a b c (Å): 8.226 8.226 8.226
angles (deg): 57.89 57.89 57.89
Element x y z (fractional)
Rb: 0.000 0.000 0.000
Nd: 0.490 0.490 0.490
Tl: 0.284 0.284 0.284
Tl: 0.791 0.791 0.791
Cl: 0.139 0.674 0.397
Cl: 0.243 0.605 0.830
Cl: 0.397 0.139 0.674
Cl: 0.605 0.830 0.243
Cl: 0.674 0.397 0.139
Cl: 0.830 0.243 0.605

Results
Formation energy without anion corrections (eV per formula unit): -17.4
Calculated volume (Å³/f.u.): 375

# 14
This record from the Alexandria database describes Rb2NdTlCl6 after structural relaxation. The functional is GGA-PBE.

a b c (Å): 7.810 8.268 13.558
angles (deg): 90.00 124.25 90.00
Element x y z (fractional)
Rb: 0.220 0.071 0.246
Rb: 0.220 0.429 0.746
Rb: 0.780 0.571 0.254
Rb: 0.780 0.929 0.754
Nd: 0.500 0.000 0.000
Nd: 0.500 0.500 0.500
Tl: 0.000 0.000 0.500
Tl: 0.000 0.500 0.000
Cl: 0.161 0.181 0.945
Cl: 0.161 0.319 0.445
Cl: 0.259 0.724 0.931
Cl: 0.259 0.776 0.431
Cl: 0.391 0.049 0.771
Cl: 0.391 0.451 0.271
Cl: 0.609 0.549 0.729
Cl: 0.609 0.951 0.229
Cl: 0.741 0.224 0.569
Cl: 0.741 0.276 0.069
Cl: 0.839 0.681 0.555
Cl: 0.839 0.819 0.055

Results
Formation energy without anion corrections (eV per formula unit): -19.4
Calculated volume (Å³/f.u.): 362

# 15
This record from the Alexandria database describes Nd4ReCl5 after structural relaxation. The functional is GGA-PBE.

a b c (Å): 9.357 9.357 9.257
angles (deg): 106.57 106.57 24.19
Element x y z (fractional)
Nd: 0.003 0.003 0.245
Nd: 0.350 0.350 0.913
Nd: 0.650 0.650 0.087
Nd: 0.997 0.997 0.755
Re: 0.500 0.500 0.000
Cl: 0.168 0.168 0.322
Cl: 0.168 0.168 0.865
Cl: 0.500 0.500 0.500
Cl: 0.832 0.832 0.135
Cl: 0.832 0.832 0.678

Results
Formation energy without anion corrections (eV per formula unit): -14.7
Calculated volume (Å³/f.u.): 318

# 16
This record from the Alexandria database describes Nd2RhCl after structural relaxation. The functional is GGA-PBE.

a b c (Å): 4.086 4.086 22.782
angles (deg): 90.00 90.00 120.00
Element x y z (fractional)
Nd: 0.000 0.000 0.235
Nd: 0.000 0.000 0.765
Nd: 0.333 0.667 0.432
Nd: 0.333 0.667 0.902
Nd: 0.667 0.333 0.098
Nd: 0.667 0.333 0.568
Rh: 0.000 0.000 0.500
Rh: 0.333 0.667 0.167
Rh: 0.667 0.333 0.833
Cl: 0.000 0.000 0.000
Cl: 0.333 0.667 0.667
Cl: 0.667 0.333 0.333

Results
E above lowest polymorph (eV per atom): 0.000
Formation energy without anion corrections (eV per formula unit): -4.7
Calculated volume (Å³/f.u.): 110

# 17
This record from the Alexandria database describes Nd2RhCl after structural relaxation. The functional is GGA-PBE.

a b c (Å): 3.446 3.446 8.125
angles (deg): 90.00 90.00 90.00
Element x y z (fractional)
Nd: 0.000 0.000 0.219
Nd: 0.000 0.000 0.781
Rh: 0.500 0.500 0.000
Cl: 0.500 0.500 0.500

Results
E above lowest polymorph (eV per atom): 0.170
Formation energy without anion corrections (eV per formula unit): -4.0
Calculated volume (Å³/f.u.): 96

# 18
This record from the Alexandria database describes Nd2RhCl2 after structural relaxation. The functional is GGA-PBE.

a b c (Å): 7.035 4.061 11.139
angles (deg): 90.00 103.33 90.00
Element x y z (fractional)
Nd: 0.223 0.000 0.155
Nd: 0.277 0.500 0.845
Nd: 0.723 0.500 0.155
Nd: 0.777 0.000 0.845
Rh: 0.000 0.500 0.000
Rh: 0.500 0.000 0.000
Cl: 0.050 0.000 0.682
Cl: 0.450 0.500 0.318
Cl: 0.550 0.500 0.682
Cl: 0.950 0.000 0.318

Results
Formation energy without anion corrections (eV per formula unit): -7.3
Calculated volume (Å³/f.u.): 155

# 19
This record from the Alexandria database describes Nd4Rh2Cl after structural relaxation. The functional is GGA-PBE.

a b c (Å): 7.938 7.938 7.938
angles (deg): 111.52 111.52 105.44
Element x y z (fractional)
Nd: 0.044 0.790 0.141
Nd: 0.097 0.956 0.747
Nd: 0.100 0.460 0.753
Nd: 0.210 0.350 0.253
Nd: 0.540 0.294 0.641
Nd: 0.650 0.903 0.859
Nd: 0.653 0.900 0.359
Nd: 0.706 0.347 0.247
Rh: 0.375 0.031 0.156
Rh: 0.781 0.625 0.656
Rh: 0.875 0.219 0.844
Rh: 0.969 0.125 0.344
Cl: 0.250 0.750 0.500
Cl: 0.500 0.500 0.000

Results
Formation energy without anion corrections (eV per formula unit): -5.9
Calculated volume (Å³/f.u.): 192

# 20
This record from the Alexandria database describes Nd2RhCl after structural relaxation. The functional is GGA-PBE.

a b c (Å): 4.067 4.067 23.203
angles (deg): 90.00 90.00 120.00
Element x y z (fractional)
Nd: 0.000 0.000 0.000
Nd: 0.000 0.000 0.199
Nd: 0.333 0.667 0.667
Nd: 0.333 0.667 0.866
Nd: 0.667 0.333 0.333
Nd: 0.667 0.333 0.532
Rh: 0.000 0.000 0.599
Rh: 0.333 0.667 0.266
Rh: 0.667 0.333 0.933
Cl: 0.000 0.000 0.429
Cl: 0.333 0.667 0.096
Cl: 0.667 0.333 0.762

Results
E above lowest polymorph (eV per atom): 0.024
Formation energy without anion corrections (eV per formula unit): -4.6
Calculated volume (Å³/f.u.): 111